{"formula": "Sm4EuHo", "functional": "PBE", "state": "relaxed", "lattice": [[0.000, 4.772, 4.772], [4.772, 0.000, 4.772], [4.772, 4.772, 0.000]], "species": ["Sm", "Sm", "Sm", "Sm", "Eu", "Ho"], "frac_coords": [[0.377, 0.377, 0.377], [0.377, 0.377, 0.869], [0.377, 0.869, 0.377], [0.869, 0.377, 0.377], [0.000, 0.000, 0.000], [0.750, 0.750, 0.750]], "rho_g_cm3": 7.0, "e_form_kcal_per_mol_atoms": 5.49, "m_tot_mub_per_atom": 1.207}